Here is a relaxed LiFeBrF2 crystal from the Alexandria database. Energies are from GGA+U.

a b c (Å): 3.9819 3.9819 5.6341
angles (deg): 90.00 90.00 90.00
Atoms (fractional coordinates):
Fe 0.0000 0.0000 0.0000
Br 0.0000 0.0000 0.5000
F 0.0000 0.5000 0.0000
F 0.5000 0.0000 0.0000
Li 0.5000 0.5000 0.5000

Values from the calculation:
SG: No. 123
Electronic total energy in eV per atom: -4.341